Density functional theory data (PBE-GGA) for Dy2ScGe3Pt4 after structural relaxation.

a = 4.115 Å, b = 4.115 Å, c = 11.348 Å
α = 90.00°, β = 90.00°, γ = 90.00°
Positions (direct):
Dy (0.500, 0.000, 0.229)
Dy (0.000, 0.500, 0.771)
Sc (0.500, 0.500, 0.500)
Ge (0.000, 0.000, 0.500)
Ge (0.500, 0.000, 0.866)
Ge (0.000, 0.500, 0.134)
Pt (0.500, 0.500, 0.000)
Pt (0.000, 0.000, 0.000)
Pt (0.500, 0.000, 0.651)
Pt (0.000, 0.500, 0.349)

Values from the calculation:
Energy relative to the elements (eV/atom): -0.979
Theoretical density (g/cm³): 11.82
Space-group type: P-4m2
M_tot (μB/f.u.): 0.00